VASP calculation (PBE) on a geometry-optimized Pm4In2N structure.

a = 4.925 Å, b = 4.925 Å, c = 8.809 Å
α = 106.23°, β = 106.23°, γ = 90.00°
Fractional coordinates of all 7 atoms:
Pm1 0.500 0.000 0.000
Pm2 0.000 0.500 0.000
Pm3 0.162 0.162 0.325
In1 0.637 0.637 0.274
N1 0.000 0.000 0.000
In2 0.363 0.363 0.726
Pm4 0.838 0.838 0.675

Output
The value obtained for the polymorph energy (0 for the lowest one) is 0 meV/atom. The value obtained for the raw formation energy is -665 meV/atom. The space group is I4/mmm, No. 139.